## NaSr2CdIr (GGA-PBE)

Data for a geometry-optimized NaSr2CdIr structure.

SG   P4/mmm (123)
Formation energy from the elements   -0.08 eV/atom

Geometry as extended XYZ:
```
5
Lattice="-0.8194 4.8003 -3.1266 0.8504 -3.0215 -4.8618 -5.2747 -1.0687 -0.2584" Properties=species:S:1:pos:R:3 pbc="T T T"
Sr -0.4097 2.4001 -1.5633
Ir 0.0000 0.0000 0.0000
Na -2.6219 0.3551 -4.1234
Cd -2.6374 -0.5343 -0.1292
Sr 0.4252 -1.5107 -2.4309
```